[1]
Density functional theory data (PBE) for Ti4Cu2P after structural relaxation.

Values from the calculation:
* formation energy from the elements: 17 meV/atom

Cell: 4.498 4.498 12.255 Å, 90.00 90.00 90.00°
Space group I4/mmm (No. 139)
Unique sites:
1 Ti 0.000 0.000 0.192 [4 per cell]
2 Ti 0.000 0.500 0.000 [4 per cell]
3 Cu 0.000 0.000 0.389 [4 per cell]
4 P 0.000 0.000 0.000 [2 per cell]

***

[2]
Density functional theory data (PBE) for YCr2Cu2 after structural relaxation.

Values from the calculation:
* formation energy from the elements: 370 meV/atom
* energy relative to the lowest polymorph listed for this composition: 0.0564 eV per atom

Cell: 7.291 7.291 3.212 Å, 90.00 90.00 90.00°
Space group P4/mbm (No. 127)
Unique sites:
1 Y 0.000 0.000 0.000 [2 per cell]
2 Cr 0.162 0.338 0.500 [4 per cell]
3 Cu 0.125 0.625 0.000 [4 per cell]

***

[3]
Density functional theory data (PBE) for Ho6PdSe2S3 after structural relaxation.

Values from the calculation:
* E_form (uncorrected): -20.293 eV per formula unit

Cell: 17.430 3.913 8.064 Å, 90.00 103.35 90.00°
Space group C2/m (No. 12)
Unique sites:
1 Ho 0.004 0.000 0.253 [4 per cell]
2 Ho 0.162 0.500 0.095 [4 per cell]
3 Ho 0.168 0.500 0.574 [4 per cell]
4 Pd 0.000 0.500 0.500 [2 per cell]
5 Se 0.168 0.000 0.838 [4 per cell]
6 S 0.000 0.500 0.000 [2 per cell]
7 S 0.170 0.000 0.335 [4 per cell]

***

Quick rundown of size of the total moment, same order as above: 0.00, 15.00, 0.00 μB per cell
Quick rundown of DOS at the Fermi energy, same order as above: 3.765, 3.447, 4.713 states/eV/f.u.